[1]
The following is a PBE-GGA calculation of a relaxed MnSnGeCl6 crystal, from the Alexandria database.

Output
As for the crystal system: trigonal. As for the energy relative to the elements, uncorrected: -0.9403 eV per atom. Its density of states at the Fermi level is 0.0 states/eV/f.u. The mass density is 3.16 g/cm3. The total energy is -74.7 eV for the cell shown.

Structure (CIF):
```
data_MnSnGeCl6
_symmetry_space_group_name_H-M 'P -3 1 c'
_symmetry_Int_Tables_number 163
_symmetry_space_group_name_Hall '-P 3 2c'
_cell_length_a 6.6995
_cell_length_b 6.6995
_cell_length_c 12.4274
_cell_angle_alpha 90.00
_cell_angle_beta 90.00
_cell_angle_gamma 120.00
loop_
_atom_site_label
_atom_site_type_symbol
_atom_site_fract_x
_atom_site_fract_y
_atom_site_fract_z
_atom_site_occupancy
Mn1 Mn 0.3333 0.6667 0.2500 1
Sn1 Sn 0.0000 0.0000 0.0000 1
Ge1 Ge 0.3333 0.6667 0.7500 1
Cl1 Cl 0.0163 0.3616 0.1329 1
```

=====

[2]
The following is a PBE-GGA calculation of a relaxed MnSnGe2Cl8 crystal, from the Alexandria database.

Output
As for the crystal system: triclinic. As for the energy relative to the elements, uncorrected: -0.8925 eV per atom. Its density of states at the Fermi level is 0.0 states/eV/f.u. The mass density is 2.93 g/cm3. The total energy is -47.9 eV for the cell shown.

Structure (CIF):
```
data_MnSnGe2Cl8
_symmetry_space_group_name_H-M 'P -1'
_symmetry_Int_Tables_number 2
_cell_length_a 6.206
_cell_length_b 6.720
_cell_length_c 8.199
_cell_angle_alpha 90.99
_cell_angle_beta 90.19
_cell_angle_gamma 92.63
loop_
_symmetry_equiv_pos_as_xyz
'x,y,z'
'-x,-y,-z'
loop_
_atom_site_label
_atom_site_type_symbol
_atom_site_fract_x
_atom_site_fract_y
_atom_site_fract_z
_atom_site_occupancy
Mn1 Mn 0.000 0.000 0.000 1
Sn1 Sn 0.000 0.000 0.500 1
Ge1 Ge 0.467 0.554 0.764 1
Cl1 Cl 0.194 0.180 0.783 1
Cl2 Cl 0.247 0.694 0.970 1
Cl3 Cl 0.256 0.142 0.230 1
Cl4 Cl 0.274 0.668 0.532 1
```

=====

[3]
The following is a PBE-GGA calculation of a relaxed Mn2TlGeCl8 crystal, from the Alexandria database.

Output
As for the crystal system: trigonal. As for the energy relative to the elements, uncorrected: -0.9244 eV per atom. Its density of states at the Fermi level is 1.2 states/eV/f.u. The mass density is 3.25 g/cm3. The total energy is -51.2 eV for the cell shown.

Structure (CIF):
```
data_Mn2TlGeCl8
_symmetry_space_group_name_H-M 'P -3'
_symmetry_Int_Tables_number 147
_cell_length_a 6.5440
_cell_length_b 6.5440
_cell_length_c 9.2449
_cell_angle_alpha 90.00
_cell_angle_beta 90.00
_cell_angle_gamma 120.00
loop_
_symmetry_equiv_pos_as_xyz
'x,y,z'
'-x,-y,-z'
'-y,x-y,z'
'y,-x+y,-z'
'-x+y,-x,z'
'x-y,x,-z'
loop_
_atom_site_label
_atom_site_type_symbol
_atom_site_fract_x
_atom_site_fract_y
_atom_site_fract_z
_atom_site_occupancy
Mn1 Mn 0.3333 0.6667 0.2371 1
Tl1 Tl 0.0000 0.0000 0.5000 1
Ge1 Ge 0.0000 0.0000 0.0000 1
Cl1 Cl 0.0028 0.3139 0.1667 1
Cl2 Cl 0.3333 0.6667 0.4803 1
```

=====

[4]
The following is a PBE-GGA calculation of a relaxed MnTl2GeCl6 crystal, from the Alexandria database.

Output
As for the crystal system: trigonal. As for the energy relative to the elements, uncorrected: -0.9694 eV per atom. Its density of states at the Fermi level is 0.0 states/eV/f.u. The mass density is 4.57 g/cm3. The total energy is -117.9 eV for the cell shown.

Structure (CIF):
```
data_MnTl2GeCl6
_symmetry_space_group_name_H-M 'R 3'
_symmetry_Int_Tables_number 146
_symmetry_space_group_name_Hall 'R 3'
_cell_length_a 7.3154
_cell_length_b 7.3154
_cell_length_c 17.6008
_cell_angle_alpha 90.00
_cell_angle_beta 90.00
_cell_angle_gamma 120.00
loop_
_atom_site_label
_atom_site_type_symbol
_atom_site_fract_x
_atom_site_fract_y
_atom_site_fract_z
_atom_site_occupancy
Mn1 Mn 0.0000 0.0000 0.0000 1
Tl1 Tl 0.0000 0.0000 0.2478 1
Tl2 Tl 0.0000 0.0000 0.7528 1
Ge1 Ge 0.0000 0.0000 0.5000 1
Cl1 Cl 0.0109 0.5598 0.7482 1
Cl2 Cl 0.1175 0.3446 0.5848 1
```

=====

[5]
The following is a PBE-GGA calculation of a relaxed Ge2MoCl crystal, from the Alexandria database.

Output
As for the crystal system: cubic. As for the energy relative to the elements, uncorrected: 0.8544 eV per atom. Its density of states at the Fermi level is 5.4 states/eV/f.u. The energy above the most stable polymorph in this dataset is 89 kJ/mol of formula units. The mass density is 6.41 g/cm3. The total energy is -74.0 eV for the cell shown.

Structure (CIF):
```
data_Ge2MoCl
_symmetry_space_group_name_H-M 'F m -3 m'
_symmetry_Int_Tables_number 225
_symmetry_space_group_name_Hall '-F 4 2 3'
_cell_length_a 6.592
_cell_length_b 6.592
_cell_length_c 6.592
_cell_angle_alpha 90.00
_cell_angle_beta 90.00
_cell_angle_gamma 90.00
loop_
_atom_site_label
_atom_site_type_symbol
_atom_site_fract_x
_atom_site_fract_y
_atom_site_fract_z
_atom_site_occupancy
Ge1 Ge 0.250 0.250 0.250 1
Mo1 Mo 0.000 0.000 0.000 1
Cl1 Cl 0.000 0.000 0.500 1
```

=====

[6]
The following is a PBE-GGA calculation of a relaxed Ge2MoCl2 crystal, from the Alexandria database.

Output
As for the crystal system: tetragonal. As for the energy relative to the elements, uncorrected: 0.3075 eV per atom. Its density of states at the Fermi level is 3.7 states/eV/f.u. The energy above the most stable polymorph in this dataset is 0 kJ/mol of formula units. The mass density is 3.93 g/cm3. The total energy is -44.4 eV for the cell shown.

Structure (CIF):
```
data_Ge2MoCl2
_symmetry_space_group_name_H-M 'P 4/m b m'
_symmetry_Int_Tables_number 127
_symmetry_space_group_name_Hall '-P 4 2ab'
_cell_length_a 7.231
_cell_length_b 7.231
_cell_length_c 5.050
_cell_angle_alpha 90.00
_cell_angle_beta 90.00
_cell_angle_gamma 90.00
loop_
_atom_site_label
_atom_site_type_symbol
_atom_site_fract_x
_atom_site_fract_y
_atom_site_fract_z
_atom_site_occupancy
Ge1 Ge 0.249 0.251 0.000 1
Mo1 Mo 0.000 0.000 0.000 1
Cl1 Cl 0.199 0.301 0.500 1
```

=====

[7]
The following is a PBE-GGA calculation of a relaxed Ge2MoCl2 crystal, from the Alexandria database.

Output
As for the crystal system: tetragonal. As for the energy relative to the elements, uncorrected: 0.5320 eV per atom. Its density of states at the Fermi level is 4.2 states/eV/f.u. The energy above the most stable polymorph in this dataset is 108 kJ/mol of formula units. The mass density is 4.40 g/cm3. The total energy is -42.2 eV for the cell shown.

Structure (CIF):
```
data_Ge2MoCl2
_symmetry_space_group_name_H-M 'I 4/m m m'
_symmetry_Int_Tables_number 139
_symmetry_space_group_name_Hall '-I 4 2'
_cell_length_a 3.458
_cell_length_b 3.458
_cell_length_c 19.701
_cell_angle_alpha 90.00
_cell_angle_beta 90.00
_cell_angle_gamma 90.00
loop_
_atom_site_label
_atom_site_type_symbol
_atom_site_fract_x
_atom_site_fract_y
_atom_site_fract_z
_atom_site_occupancy
Ge1 Ge 0.000 0.000 0.066 1
Mo1 Mo 0.000 0.000 0.500 1
Cl1 Cl 0.000 0.500 0.250 1
```

=====

[8]
The following is a PBE-GGA calculation of a relaxed Ge2MoCl crystal, from the Alexandria database.

Output
As for the crystal system: tetragonal. As for the energy relative to the elements, uncorrected: 0.6235 eV per atom. Its density of states at the Fermi level is 3.1 states/eV/f.u. The energy above the most stable polymorph in this dataset is 0 kJ/mol of formula units. The mass density is 4.25 g/cm3. The total energy is -77.7 eV for the cell shown.

Structure (CIF):
```
data_Ge2MoCl
_symmetry_space_group_name_H-M 'I -4 2 d'
_symmetry_Int_Tables_number 122
_symmetry_space_group_name_Hall 'I -4 2bw'
_cell_length_a 6.032
_cell_length_b 6.032
_cell_length_c 11.889
_cell_angle_alpha 90.00
_cell_angle_beta 90.00
_cell_angle_gamma 90.00
loop_
_atom_site_label
_atom_site_type_symbol
_atom_site_fract_x
_atom_site_fract_y
_atom_site_fract_z
_atom_site_occupancy
Ge1 Ge 0.197 0.250 0.125 1
Mo1 Mo 0.000 0.000 0.000 1
Cl1 Cl 0.000 0.000 0.500 1
```

=====

[9]
The following is a PBE-GGA calculation of a relaxed GeMo2Cl crystal, from the Alexandria database.

Output
As for the crystal system: cubic. As for the energy relative to the elements, uncorrected: 0.5241 eV per atom. Its density of states at the Fermi level is 4.4 states/eV/f.u. The energy above the most stable polymorph in this dataset is 0 kJ/mol of formula units. The mass density is 8.16 g/cm3. The total energy is -104.1 eV for the cell shown.

Structure (CIF):
```
data_GeMo2Cl
_symmetry_space_group_name_H-M 'F m -3 m'
_symmetry_Int_Tables_number 225
_symmetry_space_group_name_Hall '-F 4 2 3'
_cell_length_a 6.250
_cell_length_b 6.250
_cell_length_c 6.250
_cell_angle_alpha 90.00
_cell_angle_beta 90.00
_cell_angle_gamma 90.00
loop_
_atom_site_label
_atom_site_type_symbol
_atom_site_fract_x
_atom_site_fract_y
_atom_site_fract_z
_atom_site_occupancy
Ge1 Ge 0.000 0.000 0.000 1
Mo1 Mo 0.250 0.250 0.250 1
Cl1 Cl 0.000 0.000 0.500 1
```

=====

[10]
The following is a PBE-GGA calculation of a relaxed GeMo2Cl crystal, from the Alexandria database.

Output
As for the crystal system: tetragonal. As for the energy relative to the elements, uncorrected: 0.6810 eV per atom. Its density of states at the Fermi level is 4.3 states/eV/f.u. The energy above the most stable polymorph in this dataset is 61 kJ/mol of formula units. The mass density is 6.90 g/cm3. The total energy is -101.6 eV for the cell shown.

Structure (CIF):
```
data_GeMo2Cl
_symmetry_space_group_name_H-M 'I -4 2 d'
_symmetry_Int_Tables_number 122
_symmetry_space_group_name_Hall 'I -4 2bw'
_cell_length_a 4.231
_cell_length_b 4.231
_cell_length_c 16.123
_cell_angle_alpha 90.00
_cell_angle_beta 90.00
_cell_angle_gamma 90.00
loop_
_atom_site_label
_atom_site_type_symbol
_atom_site_fract_x
_atom_site_fract_y
_atom_site_fract_z
_atom_site_occupancy
Ge1 Ge 0.000 0.000 0.000 1
Mo1 Mo 0.200 0.250 0.625 1
Cl1 Cl 0.000 0.000 0.500 1
```

=====

[11]
The following is a PBE-GGA calculation of a relaxed GeMoP2Cl crystal, from the Alexandria database.

Output
As for the crystal system: tetragonal. As for the energy relative to the elements, uncorrected: 1.0633 eV per atom. Its density of states at the Fermi level is 3.0 states/eV/f.u. The energy above the most stable polymorph in this dataset is 303 kJ/mol of formula units. The mass density is 4.20 g/cm3. The total energy is -22.8 eV for the cell shown.

Structure (CIF):
```
data_GeMoP2Cl
_symmetry_space_group_name_H-M 'P 4/m m m'
_symmetry_Int_Tables_number 123
_symmetry_space_group_name_Hall '-P 4 2'
_cell_length_a 4.724
_cell_length_b 4.724
_cell_length_c 4.709
_cell_angle_alpha 90.00
_cell_angle_beta 90.00
_cell_angle_gamma 90.00
loop_
_atom_site_label
_atom_site_type_symbol
_atom_site_fract_x
_atom_site_fract_y
_atom_site_fract_z
_atom_site_occupancy
Ge1 Ge 0.000 0.000 0.000 1
Mo1 Mo 0.500 0.500 0.500 1
P1 P 0.000 0.500 0.000 1
Cl1 Cl 0.000 0.000 0.500 1
```

=====

[12]
The following is a PBE-GGA calculation of a relaxed GeMoP2Cl crystal, from the Alexandria database.

Output
As for the crystal system: tetragonal. As for the energy relative to the elements, uncorrected: 0.4345 eV per atom. Its density of states at the Fermi level is 3.7 states/eV/f.u. The energy above the most stable polymorph in this dataset is 0 kJ/mol of formula units. The mass density is 4.04 g/cm3. The total energy is -25.9 eV for the cell shown.

Structure (CIF):
```
data_GeMoP2Cl
_symmetry_space_group_name_H-M 'P 4/m m m'
_symmetry_Int_Tables_number 123
_symmetry_space_group_name_Hall '-P 4 2'
_cell_length_a 4.656
_cell_length_b 4.656
_cell_length_c 5.039
_cell_angle_alpha 90.00
_cell_angle_beta 90.00
_cell_angle_gamma 90.00
loop_
_atom_site_label
_atom_site_type_symbol
_atom_site_fract_x
_atom_site_fract_y
_atom_site_fract_z
_atom_site_occupancy
Ge1 Ge 0.000 0.000 0.000 1
Mo1 Mo 0.500 0.500 0.500 1
P1 P 0.000 0.500 0.500 1
Cl1 Cl 0.500 0.500 0.000 1
```